A plane-wave DFT calculation with PBE-GGA was carried out for a relaxed structure of NiBr3. Values from VASP.

Summary:
The formation energy from raw total energies is -137 meV/atom. Its electronic total energy is -2.837 eV per atom. The calculation puts the density of states at the Fermi level at 4.1 states/eV/f.u. The space-group type is No. 167.

The structure in Quantum ESPRESSO input format:
```
&SYSTEM
  ibrav = 0, nat = 8, ntyp = 2
/
ATOMIC_SPECIES
Ni 58.69 Ni.upf
Br 79.90 Br.upf
ATOMIC_POSITIONS crystal
Ni 0.000 0.000 0.000
Ni 0.500 0.500 0.500
Br 0.109 0.750 0.391
Br 0.250 0.609 0.891
Br 0.391 0.109 0.750
Br 0.609 0.891 0.250
Br 0.750 0.391 0.109
Br 0.891 0.250 0.609
CELL_PARAMETERS angstrom
3.176 1.833 5.551
-3.176 1.833 5.551
0.000 -3.667 5.551
```